1.
DFT (PBE-GGA) results for SrPdW after structural relaxation.

abc: 5.234 4.676 11.134
angles: 90.00 90.00 90.00
Space group Pnma (No. 62)
Inequivalent atoms, fractional coordinates:
1 Sr 0.074 0.250 0.129
2 Pd 0.071 0.250 0.446
3 W 0.069 0.750 0.317

* energy above the lowest structure with this stoichiometry: 369.7 meV per atom
* energy of formation: 523 meV per atom

=====

2.
DFT (PBE-GGA) results for GdMg2Au after structural relaxation.

abc: 4.321 4.321 4.958
angles: 90.00 90.00 90.00
Space group P4/mmm (No. 123)
Inequivalent atoms, fractional coordinates:
1 Gd 0.000 0.000 0.000
2 Mg 0.000 0.500 0.500
3 Au 0.500 0.500 0.000

* energy of formation: -358 meV per atom

=====

- Which of these has the highest energy of formation?
  SrPdW

=====

- Among the records above, which one has the highest energy of formation?
  SrPdW